# 1
This record from Alexandria via LeMat-Bulk describes a geometry-optimized Pa2TePb structure. The functional is PBE-GGA.

The formation energy from raw total energies comes out at -208 meV per atom. As for the magnetization: 0.56 μB per atom. The calculation puts the excess energy over the best structure of this formula in the dataset at 8 meV per atom. The total energy comes out at -6.67 eV per atom.

The structure belongs to space group Fm-3m (No. 225); the cell edges are 7.5420, 7.5420 and 7.5420 Å and the angles 90.00°, 90.00° and 90.00°. The distinct sites, in fractional coordinates, are Pa at (0.2500, 0.2500, 0.2500), Te at (0.0000, 0.0000, 0.0000) and Pb at (0.0000, 0.0000, 0.5000).

---

# 2
This record from Alexandria via LeMat-Bulk describes a geometry-optimized Pa3Te12Pb5 structure. The functional is PBE-GGA.

The formation energy from raw total energies comes out at -362 meV per atom. As for the magnetization: 0.07 μB per atom. The total energy comes out at -4.60 eV per atom.

The structure belongs to space group Ia-3d (No. 230); the cell edges are 18.2839, 18.2839 and 18.2839 Å and the angles 90.00°, 90.00° and 90.00°. The distinct sites, in fractional coordinates, are Pa at (0.0000, 0.2500, 0.1250), Te at (0.0116, 0.0737, 0.6554), Pb at (0.0000, 0.0000, 0.0000) and Pb at (0.0000, 0.2500, 0.3750).

---

# 3
This record from Alexandria via LeMat-Bulk describes a geometry-optimized PaTe2Pb structure. The functional is PBE-GGA.

The formation energy from raw total energies comes out at -397 meV per atom. As for the magnetization: 0.27 μB per atom. The total energy comes out at -5.27 eV per atom.

The structure belongs to space group R-3m (No. 166, hexagonal axes); the cell edges are 3.9131, 3.9131 and 29.1889 Å and the angles 90.00°, 90.00° and 120.00°. The distinct sites, in fractional coordinates, are Pa at (0.0000, 0.0000, 0.0000), Te at (0.0000, 0.0000, 0.2615) and Pb at (0.0000, 0.0000, 0.5000).

---

# 4
This record from Alexandria via LeMat-Bulk describes a geometry-optimized Pa6Te12Pb structure. The functional is PBE-GGA.

The formation energy from raw total energies comes out at -570 meV per atom. As for the magnetization: 0.42 μB per atom. The total energy comes out at -5.75 eV per atom.

The structure belongs to space group R-3m (No. 166, hexagonal axes); the cell edges are 14.4674, 14.4674 and 10.8103 Å and the angles 90.00°, 90.00° and 120.00°. The distinct sites, in fractional coordinates, are Pa at (0.0590, 0.5295, 0.2647), Te at (0.0000, 0.3744, 0.5000), Te at (0.0863, 0.1725, 0.3414) and Pb at (0.0000, 0.0000, 0.0000).

---

# 5
This record from Alexandria via LeMat-Bulk describes a geometry-optimized Pa3Tl3Te8Pb structure. The functional is PBE-GGA.

The formation energy from raw total energies comes out at -606 meV per atom. As for the magnetization: 0.27 μB per atom. The total energy comes out at -4.90 eV per atom.

The structure belongs to space group R-3m (No. 166, hexagonal axes); the cell edges are 8.9337, 8.9337 and 24.6034 Å and the angles 90.00°, 90.00° and 120.00°. The distinct sites, in fractional coordinates, are Pa at (0.0000, 0.5000, 0.0000), Tl at (0.0000, 0.5000, 0.5000), Te at (0.0000, 0.0000, 0.2610), Te at (0.0181, 0.5090, 0.2603) and Pb at (0.0000, 0.0000, 0.0000).

---

# 6
This record from Alexandria via LeMat-Bulk describes a geometry-optimized ThPa2Pb structure. The functional is PBE-GGA.

As for the magnetization: 0.19 μB per atom. The calculation puts the excess energy over the best structure of this formula in the dataset at 128 meV per atom. The calculation puts the formation energy at 0.1553 eV/atom. The total energy comes out at -7.37 eV per atom.

The structure belongs to space group P4/mmm (No. 123); the cell edges are 4.1518, 4.1518 and 6.6954 Å and the angles 90.00°, 90.00° and 90.00°. The distinct sites, in fractional coordinates, are Th at (0.0000, 0.0000, 0.0000), Pa at (0.5000, 0.5000, 0.2921) and Pb at (0.0000, 0.0000, 0.5000).

---

# 7
This record from Alexandria via LeMat-Bulk describes a geometry-optimized Th2PaPb structure. The functional is PBE-GGA.

As for the magnetization: 0.00 μB per atom. The calculation puts the excess energy over the best structure of this formula in the dataset at 113 meV per atom. The calculation puts the formation energy at 0.0827 eV/atom. The total energy comes out at -6.93 eV per atom.

The structure belongs to space group R-3m (No. 166, hexagonal axes); the cell edges are 3.5121, 3.5121 and 33.9352 Å and the angles 90.00°, 90.00° and 120.00°. The distinct sites, in fractional coordinates, are Th at (0.0000, 0.0000, 0.2483), Pa at (0.0000, 0.0000, 0.5000) and Pb at (0.0000, 0.0000, 0.0000).

---

# 8
This record from Alexandria via LeMat-Bulk describes a geometry-optimized Th2PaPb structure. The functional is PBE-GGA.

As for the magnetization: 0.00 μB per atom. The calculation puts the excess energy over the best structure of this formula in the dataset at 204 meV per atom. The calculation puts the formation energy at 0.1740 eV/atom. The total energy comes out at -6.84 eV per atom.

The structure belongs to space group Fm-3m (No. 225); the cell edges are 7.7873, 7.7873 and 7.7873 Å and the angles 90.00°, 90.00° and 90.00°. The distinct sites, in fractional coordinates, are Th at (0.2500, 0.2500, 0.2500), Pa at (0.0000, 0.0000, 0.0000) and Pb at (0.0000, 0.0000, 0.5000).

---

no.,ρ (g/cm3)
1,12.34
2,7.09
3,8.92
4,7.94
5,7.42
6,12.97
7,12.40
8,12.69